Dy4Cd5Ag2: relaxed, PBE.

Results
Crystal system: monoclinic
Energy relative to the elements in eV per atom: -0.27

POSCAR file:
```
Dy4Cd5Ag2
1.0
7.740 0.000 0.000
0.000 3.513 0.000
-0.750 0.000 10.021
Dy Cd Ag
4 5 2
Direct
0.168 0.000 0.375
0.259 0.000 0.944
0.741 0.000 0.056
0.832 0.000 0.625
0.191 0.500 0.658
0.444 0.500 0.198
0.500 0.500 0.500
0.556 0.500 0.802
0.809 0.500 0.342
0.062 0.500 0.137
0.938 0.500 0.863
```